(1)
Compound: HfBiO2
Source: Alexandria via LeMat-Bulk
Functional: PBE
Structure: optimized geometry

Cell: 10.4173 10.4173 10.4173 Å, 17.98 17.98 17.98°
Fractional positions:
Bi: 0.0000 0.0000 0.0000
O: 0.1355 0.1355 0.1355
Hf: 0.5000 0.5000 0.5000
O: 0.8645 0.8645 0.8645

Computed properties:
density of states at the Fermi level	0.98	states/eV/cell
M_tot	0.000	μB/cell
space group	R-3m, No. 166
uncorrected energy	-8.286	eV per atom

=====

(2)
Compound: NdSmTl
Source: Alexandria via LeMat-Bulk
Functional: PBE
Structure: optimized geometry

Cell: 3.7954 5.3585 5.3585 Å, 120.00 90.00 90.00°
Fractional positions:
Nd: 0.6292 0.3333 0.6667
Tl: 0.2884 0.6667 0.3333
Sm: 0.0823 0.0000 0.0000

Computed properties:
density of states at the Fermi level	1.91	states/eV/cell
ΔE to the lowest computed polymorph	101	meV/atom
M_tot	0.000	μB/cell
space group	P3m1, No. 156
energy relative to the elements	-0.49	eV per formula unit

=====

(3)
Compound: In4PbS6
Source: Alexandria via LeMat-Bulk
Functional: PBE
Structure: optimized geometry

Cell: 8.7317 6.6505 7.8012 Å, 113.28 124.03 90.00°
Fractional positions:
Pb: 0.4264 0.5000 0.0000
In: 0.9224 0.3026 0.1093
In: 0.8131 0.6974 0.8907
S: 0.8078 0.5409 0.3237
S: 0.4841 0.4591 0.6763
In: 0.0130 0.9757 0.6421
S: 0.0686 0.5000 0.0000
S: 0.7320 0.9499 0.6973
S: 0.3272 0.0000 0.0000
S: 0.0346 0.0501 0.3027
In: 0.3708 0.0243 0.3579

Computed properties:
density of states at the Fermi level	0.52	states/eV/cell
M_tot	0.000	μB/cell
space group	C2, No. 5
uncorrected energy	-3.928	eV per atom

=====

(4)
Compound: SrH4O6
Source: Alexandria via LeMat-Bulk
Functional: PBE
Structure: optimized geometry

Cell: 6.0338 6.0338 6.1454 Å, 84.74 84.74 101.85°
Fractional positions:
H: 0.6961 0.9892 0.7943
Sr: 0.8122 0.1863 0.2683
O: 0.7495 0.6051 0.1009
H: 0.6834 0.6145 0.6059
O: 0.3758 0.0510 0.4058
H: 0.3898 0.9240 0.2407
O: 0.7920 0.9297 0.6543
H: 0.9892 0.6961 0.2943
O: 0.0510 0.3758 0.9058
H: 0.2578 0.3306 0.4293
Sr: 0.1863 0.8122 0.7683
O: 0.2260 0.2589 0.8142
O: 0.2589 0.2260 0.3142
O: 0.6051 0.7495 0.6009
O: 0.0563 0.5619 0.4503
O: 0.9297 0.7920 0.1543
O: 0.8434 0.4362 0.5896
H: 0.9240 0.3898 0.7407
O: 0.4362 0.8434 0.0896
H: 0.6145 0.6834 0.1059
H: 0.3306 0.2578 0.9293
O: 0.5619 0.0563 0.9503

Computed properties:
density of states at the Fermi level	0.00	states/eV/cell
ΔE to the lowest computed polymorph	91	meV/atom
M_tot	0.000	μB/cell
space group	Cc, No. 9

=====

(5)
Compound: CsMnZnCl5
Source: Alexandria via LeMat-Bulk
Functional: PBE
Structure: optimized geometry

Cell: 7.5482 7.5482 9.3082 Å, 103.24 103.24 105.93°
Site moments in Bohr magnetons follow the coordinates.
Fractional positions:
Cl: 0.9035 0.2934 0.1036  0.03
Cl: 0.0599 0.9401 0.2500  0.06
Cl: 0.7798 0.6100 0.4242  0.02
Cl: 0.9401 0.0599 0.7500  0.06
Cs: 0.6541 0.3459 0.7500  0.00
Mn: 0.0000 0.0000 0.0000  4.45
Zn: 0.3051 0.6949 0.7500  0.02
Zn: 0.6949 0.3051 0.2500  0.02
Cl: 0.7066 0.0965 0.3964  0.03
Cl: 0.6100 0.7798 0.9242  0.02
Cl: 0.0965 0.7066 0.8964  0.03
Mn: 0.0000 0.0000 0.5000  4.45
Cl: 0.2934 0.9035 0.6036  0.03
Cs: 0.3459 0.6541 0.2500  0.00
Cl: 0.2202 0.3900 0.5758  0.02
Cl: 0.3900 0.2202 0.0758  0.02

Computed properties:
density of states at the Fermi level	0.00	states/eV/cell
M_tot	10.000	μB/cell
space group	C2/c, No. 15
uncorrected energy	-3.906	eV per atom

=====

(6)
Compound: LaBiCl3
Source: Alexandria via LeMat-Bulk
Functional: PBE
Structure: optimized geometry

Cell: 5.6548 5.6548 5.6548 Å, 90.00 90.00 90.00°
Site moments in Bohr magnetons follow the coordinates.
Fractional positions:
La: 0.0000 0.0000 0.0000  0.02
Bi: 0.5000 0.5000 0.5000  1.69
Cl: 0.0000 0.5000 0.0000  0.04
Cl: 0.5000 0.0000 0.0000  0.05
Cl: 0.0000 0.0000 0.5000  0.07

Computed properties:
density of states at the Fermi level	0.00	states/eV/cell
M_tot	3.000	μB/cell
space group	Pm-3m, No. 221
uncorrected energy	-4.200	eV per atom

=====

(7)
Compound: Sr3Cd4
Source: Alexandria via LeMat-Bulk
Functional: PBE
Structure: optimized geometry

Cell: 7.4999 7.4999 5.4466 Å, 90.00 90.00 120.00°
Fractional positions:
Sr: 0.5000 0.0000 0.0000
Cd: 0.0000 0.0000 0.7476
Sr: 0.0000 0.5000 0.0000
Sr: 0.5000 0.5000 0.0000
Cd: 0.0000 0.0000 0.2524
Cd: 0.6667 0.3333 0.5000
Cd: 0.3333 0.6667 0.5000

Computed properties:
density of states at the Fermi level	6.37	states/eV/cell
M_tot	0.000	μB/cell
space group	P6/mmm, No. 191
energy relative to the elements	0.02	eV per formula unit

=====

(8)
Compound: ScPaAgSn
Source: Alexandria via LeMat-Bulk
Functional: PBE
Structure: optimized geometry

Cell: 5.1342 5.1342 5.1342 Å, 60.00 60.00 60.00°
Site moments in Bohr magnetons follow the coordinates.
Fractional positions:
Ag: 0.7500 0.7500 0.7500  0.03
Pa: 0.5000 0.5000 0.5000  1.15
Sc: 0.0000 0.0000 0.0000  0.45
Sn: 0.2500 0.2500 0.2500  -0.01

Computed properties:
density of states at the Fermi level	9.00	states/eV/cell
M_tot	2.183	μB/cell
space group	F-43m, No. 216
energy relative to the elements	-0.36	eV per formula unit

=====

(9)
Compound: FeMo4N
Source: Alexandria via LeMat-Bulk
Functional: PBE
Structure: optimized geometry

Cell: 4.7492 6.1626 6.6381 Å, 117.60 90.00 90.00°
Fractional positions:
Mo: 0.7692 0.6545 0.2770
Mo: 0.2688 0.3124 0.1487
Mo: 0.2312 0.8124 0.1487
N: 0.0000 0.0000 0.0000
Mo: 0.2692 0.8455 0.7230
Fe: 0.0000 0.5000 0.5000
Mo: 0.7688 0.1876 0.8513
Mo: 0.7308 0.1545 0.2770
Fe: 0.5000 0.0000 0.5000
N: 0.5000 0.5000 0.0000
Mo: 0.2308 0.3455 0.7230
Mo: 0.7312 0.6876 0.8513

Computed properties:
density of states at the Fermi level	10.03	states/eV/cell
M_tot	0.007	μB/cell
space group	P2_1/c, No. 14
uncorrected energy	-9.722	eV per atom

=====

(10)
Compound: PuTlBiAu
Source: Alexandria via LeMat-Bulk
Functional: PBE
Structure: optimized geometry

Cell: 5.3433 5.3433 5.3433 Å, 60.00 60.00 60.00°
Site moments in Bohr magnetons follow the coordinates.
Fractional positions:
Pu: 0.7500 0.7500 0.7500  5.43
Au: 0.0000 0.0000 0.0000  -0.04
Bi: 0.5000 0.5000 0.5000  -0.03
Tl: 0.2500 0.2500 0.2500  0.00

Computed properties:
density of states at the Fermi level	14.41	states/eV/cell
M_tot	5.613	μB/cell
space group	F-43m, No. 216
energy relative to the elements	-0.56	eV per formula unit

=====

(11)
Compound: AlSeCl2
Source: Alexandria via LeMat-Bulk
Functional: PBE
Structure: optimized geometry

Cell: 3.5264 5.8064 4.1803 Å, 90.00 90.00 90.00°
Fractional positions:
Cl: 0.5000 0.5000 0.0000
Al: 0.0000 0.5000 0.5000
Cl: 0.0000 0.0000 0.0000
Se: 0.5000 0.0000 0.5000

Computed properties:
density of states at the Fermi level	2.83	states/eV/cell
ΔE to the lowest computed polymorph	893	meV/atom
M_tot	0.000	μB/cell
space group	Pmmm, No. 47

=====

(12)
Compound: Ni5P
Source: Alexandria via LeMat-Bulk
Functional: PBE
Structure: optimized geometry

Cell: 4.6249 4.6249 4.6249 Å, 60.00 60.00 60.00°
Fractional positions:
P: 0.0000 0.0000 0.0000
Ni: 0.6247 0.6247 0.6247
Ni: 0.1259 0.6247 0.6247
Ni: 0.6247 0.6247 0.1259
Ni: 0.2500 0.2500 0.2500
Ni: 0.6247 0.1259 0.6247

Computed properties:
density of states at the Fermi level	8.52	states/eV/cell
M_tot	0.008	μB/cell
space group	F-43m, No. 216
energy relative to the elements	1.59	eV per formula unit

=====

(13)
Compound: Y3MnW
Source: Alexandria via LeMat-Bulk
Functional: PBE
Structure: optimized geometry

Cell: 5.4064 5.4064 5.4064 Å, 90.00 90.00 90.00°
Site moments in Bohr magnetons follow the coordinates.
Fractional positions:
Y: 0.0000 0.5000 0.0000  -0.06
Mn: 0.5000 0.5000 0.5000  4.24
W: 0.0000 0.0000 0.0000  -0.03
Y: 0.5000 0.0000 0.0000  -0.11
Y: 0.0000 0.0000 0.5000  -0.07

Computed properties:
density of states at the Fermi level	4.34	states/eV/cell
M_tot	4.042	μB/cell
space group	Pm-3m, No. 221
energy relative to the elements	4.38	eV per formula unit

=====

(14)
Compound: TlMoW2
Source: Alexandria via LeMat-Bulk
Functional: PBE
Structure: optimized geometry

Cell: 4.3241 2.8816 6.2587 Å, 68.27 90.00 90.00°
Fractional positions:
Mo: 0.0000 0.4385 0.4595
Tl: 0.5000 0.7469 0.7477
W: 0.0000 0.0607 0.0434
W: 0.5000 0.2539 0.2494

Computed properties:
density of states at the Fermi level	3.03	states/eV/cell
ΔE to the lowest computed polymorph	122	meV/atom
M_tot	0.000	μB/cell
space group	Pm, No. 6
energy relative to the elements	2.50	eV per formula unit

=====

(15)
Compound: LiMn3S
Source: Alexandria via LeMat-Bulk
Functional: PBE
Structure: optimized geometry

Cell: 4.3754 4.3754 4.3754 Å, 90.00 90.00 90.00°
Site moments in Bohr magnetons follow the coordinates.
Fractional positions:
S: 0.0000 0.0000 0.0000  -0.05
Mn: 0.5000 0.0000 0.0000  3.47
Li: 0.5000 0.5000 0.5000  -0.07
Mn: 0.0000 0.5000 0.0000  3.32
Mn: 0.0000 0.0000 0.5000  3.17

Computed properties:
density of states at the Fermi level	1.39	states/eV/cell
ΔE to the lowest computed polymorph	0	meV/atom
M_tot	9.906	μB/cell
space group	Pm-3m, No. 221

=====

(16)
Compound: CeTh4Sb5
Source: Alexandria via LeMat-Bulk
Functional: PBE
Structure: optimized geometry

Cell: 4.5036 6.3667 11.9335 Å, 105.47 100.88 90.00°
Site moments in Bohr magnetons follow the coordinates.
Fractional positions:
Ce: 0.0000 0.0000 0.0000  0.82
Sb: 0.4005 0.9005 0.8011  -0.01
Th: 0.8002 0.8002 0.6003  0.01
Sb: 0.5995 0.0995 0.1989  -0.01
Sb: 0.8000 0.3000 0.6000  0.00
Sb: 0.2000 0.7000 0.4000  0.00
Sb: 0.0000 0.5000 0.0000  -0.01
Th: 0.4002 0.4002 0.8004  0.01
Th: 0.1998 0.1998 0.3997  0.01
Th: 0.5998 0.5998 0.1996  0.01

Computed properties:
density of states at the Fermi level	12.05	states/eV/cell
ΔE to the lowest computed polymorph	0	meV/atom
M_tot	1.035	μB/cell
space group	Immm, No. 71

=====

(17)
Compound: SrTlBr2
Source: Alexandria via LeMat-Bulk
Functional: PBE
Structure: optimized geometry

Cell: 5.6815 5.6815 5.6815 Å, 60.00 60.00 60.00°
Fractional positions:
Br: 0.0000 0.0000 0.0000
Br: 0.2500 0.2500 0.2500
Tl: 0.7500 0.7500 0.7500
Sr: 0.5000 0.5000 0.5000

Computed properties:
density of states at the Fermi level	3.05	states/eV/cell
ΔE to the lowest computed polymorph	512	meV/atom
M_tot	0.001	μB/cell
space group	F-43m, No. 216

=====

(18)
Compound: CeCuTe2
Source: Alexandria via LeMat-Bulk
Functional: PBE
Structure: optimized geometry

Cell: 7.0765 7.6891 8.0477 Å, 90.00 90.00 95.24°
Site moments in Bohr magnetons follow the coordinates.
Fractional positions:
Ce: 0.1926 0.8024 0.0462  0.95
Te: 0.3923 0.2191 0.1092  -0.02
Ce: 0.8074 0.1976 0.9538  0.95
Cu: 0.4468 0.9565 0.6534  0.00
Te: 0.0894 0.4977 0.7813  -0.03
Te: 0.6077 0.2809 0.6092  -0.02
Cu: 0.5532 0.5435 0.1534  0.00
Ce: 0.1926 0.3024 0.4538  0.95
Te: 0.6077 0.7809 0.8908  -0.02
Te: 0.9106 0.5023 0.2187  -0.03
Cu: 0.4468 0.4565 0.8466  0.00
Te: 0.3923 0.7191 0.3908  -0.02
Ce: 0.8074 0.6976 0.5462  0.95
Te: 0.0894 0.9977 0.7187  -0.03
Cu: 0.5532 0.0435 0.3466  0.00
Te: 0.9106 0.0023 0.2813  -0.03

Computed properties:
density of states at the Fermi level	28.74	states/eV/cell
M_tot	4.021	μB/cell
space group	P2_1/c, No. 14
uncorrected energy	-4.948	eV per atom